VASP calculation (PBE) on an optimized crystal structure of LaZrTl2B.

Summary:
Symmetry = No. 123
Volume = 197.2 Å³ per cell
DOS(E_F) = 7.583 states/eV/cell
Calculated density = 5.471 g/cm³
Crystal system = tetragonal
Formation energy from the elements = 1925 meV per atom

```
LaZrTl2B
1.0
6.087 0.000 0.000
0.000 6.087 0.000
0.000 0.000 5.322
La Zr Tl B
1 1 2 1
direct
0.000 0.000 0.000 La
0.000 0.000 0.500 Zr
0.000 0.500 0.000 Tl
0.500 0.000 0.000 Tl
0.500 0.500 0.500 B
```